No. 1
# BaZr2W

A relaxed structure of BaZr2W (PBE, Alexandria).

Structure (POSCAR):
```
BaZr2W
1.0
3.5186 0.0000 0.0000
0.0000 5.0968 0.0000
0.0000 0.0000 5.2229
Ba Zr W
1 2 1
Cartesian
0.0000 0.0000 0.0000
0.0000 2.5484 2.6115
1.7593 2.5484 0.0000
1.7593 0.0000 2.6115
```

V, Å³/cell: 93.67
E above lowest polymorph, meV/atom: 722
Spin magnetization, μB per cell: 0.00
Formation energy, kJ per mole of atoms: 102.57

No. 2
# Ba2GePdCl

A relaxed structure of Ba2GePdCl (PBE, Alexandria).

Structure (POSCAR):
```
Ba2GePdCl
1.0
5.9751 0.0000 0.0000
0.0000 5.9751 0.0000
0.0000 0.0000 4.8898
Ba Ge Pd Cl
2 1 1 1
Cartesian
0.0000 2.9875 0.0000
2.9875 0.0000 0.0000
0.0000 0.0000 2.4449
2.9875 2.9875 2.4449
0.0000 0.0000 0.0000
```

Formation energy from raw total energies, eV per atom: -0.38
V, Å³/cell: 174.57
Spin magnetization, μB per cell: 0.00

No. 3
# VCr2Te4

A relaxed structure of VCr2Te4 (PBE, Alexandria).

Structure (POSCAR):
```
VCr2Te4
1.0
13.9528 0.0000 0.0000
0.0000 4.0186 0.0000
-3.3598 0.0000 6.1228
V Cr Te
2 4 8
Cartesian
0.0000 0.0000 0.0000
6.9764 2.0093 0.0000
0.9390 2.0093 4.4304
2.6777 0.0000 1.6925
7.9154 0.0000 4.4304
9.6541 2.0093 1.6925
0.1598 0.0000 2.7699
-1.4310 2.0093 5.9381
5.0477 0.0000 0.1848
3.4568 2.0093 3.3529
7.1363 2.0093 2.7699
5.5454 0.0000 5.9381
12.0241 2.0093 0.1848
10.4332 0.0000 3.3529
```

Formation energy from raw total energies, eV per atom: -0.23
V, Å³/cell: 343.32
E above lowest polymorph, meV/atom: 0
Spin magnetization, μB per cell: 17.92

No. 4
# V2TcNiH

A relaxed structure of V2TcNiH (PBE, Alexandria).

Structure (POSCAR):
```
V2TcNiH
1.0
3.8226 0.0000 0.0000
0.0000 3.8226 0.0000
0.0000 0.0000 3.7292
V Tc Ni H
2 1 1 1
Cartesian
0.0000 1.9113 0.0000
1.9113 0.0000 0.0000
0.0000 0.0000 1.8646
1.9113 1.9113 1.8646
0.0000 0.0000 0.0000
```

V, Å³/cell: 54.49
E above lowest polymorph, meV/atom: 74
Spin magnetization, μB per cell: 0.00

No. 5
# Ho4GeP3

A relaxed structure of Ho4GeP3 (PBE, Alexandria).

Structure (POSCAR):
```
Ho4GeP3
1.0
5.6858 0.0000 0.0000
0.0000 5.6858 0.0000
0.0000 0.0000 5.6858
Ho Ge P
4 1 3
Cartesian
0.0000 0.0000 0.0000
0.0000 2.8429 2.8429
2.8429 0.0000 2.8429
2.8429 2.8429 0.0000
2.8429 2.8429 2.8429
0.0000 0.0000 2.8429
0.0000 2.8429 0.0000
2.8429 0.0000 0.0000
```

V, Å³/cell: 183.81
Spin magnetization, μB per cell: 0.00
Formation energy, kJ per mole of atoms: -129.80

No. 6
# MnCdRu2

A relaxed structure of MnCdRu2 (PBE, Alexandria).

Structure (POSCAR):
```
MnCdRu2
1.0
2.9892 0.0000 0.0000
0.0000 4.5247 0.0000
0.0000 0.0000 4.6027
Mn Cd Ru
1 1 2
Cartesian
0.0000 0.0000 0.0000
1.4946 0.0000 2.3014
0.0000 2.2624 2.3014
1.4946 2.2624 0.0000
```

V, Å³/cell: 62.25
Spin magnetization, μB per cell: 4.98
Formation energy, kJ per mole of atoms: 43.11

No. 7
# HfCo2Os

A relaxed structure of HfCo2Os (PBE, Alexandria).

Structure (POSCAR):
```
HfCo2Os
1.0
3.8510 0.0000 0.0000
0.0000 3.8510 0.0000
0.0000 0.0000 3.6997
Hf Co Os
1 2 1
Cartesian
0.0000 0.0000 0.0000
0.0000 1.9255 1.8498
1.9255 0.0000 1.8498
1.9255 1.9255 0.0000
```

V, Å³/cell: 54.87
E above lowest polymorph, meV/atom: 0
Spin magnetization, μB per cell: 0.00
Formation energy, kJ per mole of atoms: -15.83

No. 8
# LaMg3Zn

A relaxed structure of LaMg3Zn (PBE, Alexandria).

Structure (POSCAR):
```
LaMg3Zn
1.0
6.4390 0.0000 0.0000
0.0000 6.4390 0.0000
0.0000 0.0000 6.4390
La Mg Zn
1 3 1
Cartesian
0.0000 0.0000 0.0000
0.0000 0.0000 3.2195
0.0000 3.2195 0.0000
3.2195 0.0000 0.0000
3.2195 3.2195 3.2195
```

V, Å³/cell: 266.97
E above lowest polymorph, meV/atom: 1276
Spin magnetization, μB per cell: 2.49
Formation energy, kJ per mole of atoms: 110.73

No. 9
# LaPr4Cd2

A relaxed structure of LaPr4Cd2 (PBE, Alexandria).

Structure (POSCAR):
```
LaPr4Cd2
1.0
6.8274 0.0000 0.0000
0.0000 10.9205 0.0000
-1.1988 0.0000 6.0919
La Pr Cd
2 8 4
Cartesian
0.0000 0.0000 0.0000
3.4137 5.4603 0.0000
-0.5994 2.1060 3.0459
-0.5994 8.8145 3.0459
1.7068 2.7301 0.0000
1.7068 8.1904 0.0000
2.8143 3.3543 3.0459
2.8143 7.5663 3.0459
5.1205 2.7301 0.0000
5.1205 8.1904 0.0000
0.1597 5.4603 1.7020
2.0552 0.0000 4.3898
3.5734 0.0000 1.7020
5.4689 5.4603 4.3898
```

V, Å³/cell: 454.20
E above lowest polymorph, meV/atom: 0
Spin magnetization, μB per cell: 0.00
Formation energy, kJ per mole of atoms: 8.40

No. 10
# AgSbSe2I

A relaxed structure of AgSbSe2I (PBE, Alexandria).

Structure (POSCAR):
```
AgSbSe2I
1.0
7.0842 0.0000 0.0000
0.0000 5.4973 0.0000
-1.1329 0.0000 8.0871
Ag Sb Se I
2 2 4 2
Cartesian
0.5489 1.3743 3.1286
5.4025 4.1230 4.9586
0.2150 1.3743 7.1335
5.7363 4.1230 0.9536
0.2270 4.1230 3.2241
-0.2395 4.1230 7.6192
6.1908 1.3743 0.4679
5.7243 1.3743 4.8630
3.0556 1.3743 1.9706
2.8957 4.1230 6.1165
```

Formation energy from raw total energies, eV per atom: -0.14
V, Å³/cell: 314.94
E above lowest polymorph, meV/atom: 0
Spin magnetization, μB per cell: 0.00

No. 11
# AlTl3S

A relaxed structure of AlTl3S (PBE, Alexandria).

Structure (POSCAR):
```
AlTl3S
1.0
5.6422 0.0000 0.0000
0.0000 5.6422 0.0000
0.0000 0.0000 5.6422
Al Tl S
1 3 1
Cartesian
0.0000 0.0000 0.0000
0.0000 2.8211 2.8211
2.8211 0.0000 2.8211
2.8211 2.8211 0.0000
2.8211 2.8211 2.8211
```

Formation energy from raw total energies, eV per atom: 0.44
V, Å³/cell: 179.62
E above lowest polymorph, meV/atom: 162
Spin magnetization, μB per cell: 0.00

No. 12
# MnIrRu2

A relaxed structure of MnIrRu2 (PBE, Alexandria).

Structure (POSCAR):
```
MnIrRu2
1.0
2.7036 0.0000 0.0000
0.0000 3.7625 0.0000
0.0000 0.0000 5.3705
Mn Ir Ru
1 1 2
Cartesian
0.0000 0.0000 0.0000
1.3518 1.8812 4.0670
0.0000 0.0000 2.6487
1.3518 1.8812 1.3390
```

V, Å³/cell: 54.63
E above lowest polymorph, meV/atom: 41
Spin magnetization, μB per cell: 1.98
Formation energy, kJ per mole of atoms: -0.75

No. 13
# CdPt2Pb

A relaxed structure of CdPt2Pb (PBE, Alexandria).

Structure (POSCAR):
```
CdPt2Pb
1.0
6.0133 0.0000 0.0000
0.0000 7.2995 0.0000
0.0000 0.0000 3.5268
Cd Pt Pb
2 4 2
Cartesian
0.0000 0.0000 0.0000
3.0067 3.6498 0.0000
1.5033 1.8249 1.7634
1.5033 5.4747 1.7634
4.5100 1.8249 1.7634
4.5100 5.4747 1.7634
0.0000 3.6498 0.0000
3.0067 0.0000 0.0000
```

V, Å³/cell: 154.81
E above lowest polymorph, meV/atom: 85
Spin magnetization, μB per cell: 0.00
Formation energy, kJ per mole of atoms: -9.09

No. 14
# Sm4Ho5Zn

A relaxed structure of Sm4Ho5Zn (PBE, Alexandria).

Structure (POSCAR):
```
Sm4Ho5Zn
1.0
3.5685 0.0000 0.0000
0.0000 3.5685 0.0000
0.0000 0.0000 23.8882
Sm Ho Zn
4 5 1
Cartesian
0.0000 0.0000 2.5308
0.0000 0.0000 7.6099
0.0000 0.0000 16.2783
0.0000 0.0000 21.3574
1.7843 1.7843 0.0000
1.7843 1.7843 5.0869
1.7843 1.7843 10.1961
1.7843 1.7843 13.6921
1.7843 1.7843 18.8013
0.0000 0.0000 11.9441
```

V, Å³/cell: 304.20
Spin magnetization, μB per cell: 0.00
Formation energy, kJ per mole of atoms: -5.28

No. 15
# Pm4Nd5Sc2

A relaxed structure of Pm4Nd5Sc2 (PBE, Alexandria).

Structure (POSCAR):
```
Pm4Nd5Sc2
1.0
8.9750 0.0000 0.0000
0.0000 3.5187 0.0000
-0.8141 0.0000 11.5769
Pm Nd Sc
4 5 2
Cartesian
1.1426 0.0000 4.4004
1.6055 0.0000 10.9440
6.5554 0.0000 0.6329
7.0182 0.0000 7.1765
1.1523 1.7593 7.7022
3.6874 1.7593 2.2904
4.0804 1.7593 5.7885
4.4735 1.7593 9.2866
7.0086 1.7593 3.8747
0.4255 1.7593 1.5166
7.7353 1.7593 10.0603
```

V, Å³/cell: 365.60
E above lowest polymorph, meV/atom: 33
Spin magnetization, μB per cell: 0.00
Formation energy, kJ per mole of atoms: 8.48

No. 16
# Cs3Ca2HfSe6

A relaxed structure of Cs3Ca2HfSe6 (PBE, Alexandria).

Structure (POSCAR):
```
Cs3Ca2HfSe6
1.0
3.7026 -6.4086 0.0000
3.7026 6.4086 0.0000
-2.4636 0.0000 8.2939
Cs Ca Hf Se
3 2 1 6
Cartesian
0.0000 0.0000 0.0000
3.7026 2.2200 0.0000
3.7026 -2.2200 0.0000
2.4708 4.2845 4.1469
2.4708 -4.2845 4.1469
2.4708 0.0000 4.1469
1.3369 1.9597 2.6390
0.2159 0.0000 5.6845
1.3369 -1.9597 2.6390
3.6046 1.9597 5.6548
4.7256 0.0000 2.6093
3.6046 -1.9597 5.6548
```

Formation energy from raw total energies, eV per atom: -1.43
V, Å³/cell: 393.60
Spin magnetization, μB per cell: 0.00

No. 17
# CsRb2BiAu

A relaxed structure of CsRb2BiAu (PBE, Alexandria).

Structure (POSCAR):
```
CsRb2BiAu
1.0
5.9517 0.0000 0.0000
0.0000 5.9517 0.0000
0.0000 0.0000 9.0464
Cs Rb Bi Au
1 2 1 1
Cartesian
0.0000 0.0000 0.0000
0.0000 2.9758 3.7772
2.9758 0.0000 3.7772
2.9758 2.9758 1.4297
0.0000 0.0000 5.4556
```

V, Å³/cell: 320.45
E above lowest polymorph, meV/atom: 39
Spin magnetization, μB per cell: 1.04
Formation energy, kJ per mole of atoms: -15.12

No. 18
# Pr8Y5Pu

A relaxed structure of Pr8Y5Pu (PBE, Alexandria).

Structure (POSCAR):
```
Pr8Y5Pu
1.0
7.3724 -4.5175 0.0000
7.3724 4.5175 0.0000
-5.9718 0.0000 7.4244
Pr Y Pu
8 5 1
Cartesian
-1.6446 0.0000 2.7226
1.0391 1.5839 4.2471
3.0094 -0.7849 2.1553
-1.2427 -1.4534 6.1344
7.7339 1.5839 3.1773
5.7635 -0.7849 5.2691
10.0157 -1.4534 1.2901
10.4176 0.0000 4.7018
5.6276 1.6187 0.3132
3.1454 1.6187 7.1112
2.1630 -1.2413 5.7632
6.6100 -1.2413 1.6613
7.3724 -4.2224 0.0000
4.3865 1.6217 3.7122
```

V, Å³/cell: 494.53
Spin magnetization, μB per cell: 6.13
Formation energy, kJ per mole of atoms: 20.53

No. 19
# Cs2LiRhI6

A relaxed structure of Cs2LiRhI6 (PBE, Alexandria).

Structure (POSCAR):
```
Cs2LiRhI6
1.0
0.0000 5.7869 5.7869
5.7869 0.0000 5.7869
5.7869 5.7869 0.0000
Cs Li Rh I
2 1 1 6
Cartesian
2.8935 2.8935 2.8935
8.6804 8.6804 8.6804
0.0000 0.0000 0.0000
5.7869 5.7869 5.7869
5.7869 5.7869 3.0600
5.7869 3.0600 5.7869
8.5139 5.7869 5.7869
3.0600 5.7869 5.7869
5.7869 8.5139 5.7869
5.7869 5.7869 8.5139
```

Formation energy from raw total energies, eV per atom: -0.89
V, Å³/cell: 387.60
E above lowest polymorph, meV/atom: 14
Spin magnetization, μB per cell: 0.00

No. 20
# KTlIr3

A relaxed structure of KTlIr3 (PBE, Alexandria).

Structure (POSCAR):
```
KTlIr3
1.0
5.1198 0.0000 0.0000
0.0000 5.1198 0.0000
0.0000 0.0000 5.1198
K Tl Ir
1 1 3
Cartesian
0.0000 0.0000 0.0000
2.5599 2.5599 2.5599
0.0000 2.5599 2.5599
2.5599 0.0000 2.5599
2.5599 2.5599 0.0000
```

V, Å³/cell: 134.20
E above lowest polymorph, meV/atom: 0
Spin magnetization, μB per cell: 2.71
Formation energy, kJ per mole of atoms: 189.54